This record from the Alexandria database describes an optimized crystal structure of Nd2RuC2. The functional is PBE-GGA.

Computed properties:
The calculation puts the distance to the lowest polymorph of the same formula at 25.6 kJ per mole of atoms. As for the total energy: -7.372 eV/atom. The formation energy comes out at 0.08 eV/atom.

Unit cell a=10.721 b=5.444 c=6.275 alpha=90.00 beta=111.82 gamma=90.00
Space group C2/c (No. 15)
Asymmetric unit:
Nd (0.152, 0.125, 0.208) x8
Ru (0.000, 0.421, 0.750) x4
C (0.093, 0.326, 0.527) x8

---

This record from the Alexandria database describes an optimized crystal structure of NdSiRu2C. The functional is PBE-GGA.

Computed properties:
As for the total energy: -8.166 eV/atom. As for the uncorrected formation energy: -573 meV/atom.

Unit cell a=3.939 b=11.131 c=7.220 alpha=90.00 beta=90.00 gamma=90.00
Space group Cmcm (No. 63)
Asymmetric unit:
Nd (0.000, 0.050, 0.250) x4
Si (0.000, 0.229, 0.750) x4
Ru (0.000, 0.335, 0.059) x8
C (0.000, 0.500, 0.000) x4

---

This record from the Alexandria database describes an optimized crystal structure of NdSnRu2C. The functional is PBE-GGA.

Computed properties:
As for the total energy: -7.611 eV/atom. The formation energy comes out at -0.30 eV/atom.

Unit cell a=4.161 b=11.604 c=7.586 alpha=90.00 beta=90.00 gamma=90.00
Space group Cmcm (No. 63)
Asymmetric unit:
Nd (0.000, 0.047, 0.250) x4
Sn (0.000, 0.232, 0.750) x4
Ru (0.000, 0.345, 0.058) x8
C (0.000, 0.500, 0.000) x4

---

This record from the Alexandria database describes an optimized crystal structure of Nd2Sn2Ru2C. The functional is PBE-GGA.

Computed properties:
As for the total energy: -6.974 eV/atom. The formation energy comes out at -0.50 eV/atom.

Unit cell a=11.675 b=4.346 c=7.468 alpha=90.00 beta=127.53 gamma=90.00
Space group C2/m (No. 12)
Asymmetric unit:
Nd (0.048, 0.000, 0.273) x4
Sn (0.164, 0.500, 0.697) x4
Ru (0.186, 0.500, 0.077) x4
C (0.000, 0.500, 0.000) x2

---

This record from the Alexandria database describes an optimized crystal structure of Nd2TlRuC. The functional is PBE-GGA.

Computed properties:
As for the total energy: -6.352 eV/atom. The formation energy comes out at -0.27 eV/atom.

Unit cell a=5.308 b=5.308 c=3.953 alpha=90.00 beta=90.00 gamma=90.00
Space group P4/mmm (No. 123)
Asymmetric unit:
Nd (0.000, 0.500, 0.000) x2
Tl (0.000, 0.000, 0.500) x1
Ru (0.500, 0.500, 0.500) x1
C (0.500, 0.500, 0.000) x1

---

This record from the Alexandria database describes an optimized crystal structure of NdU2RuC4. The functional is PBE-GGA.

Computed properties:
As for the total energy: -9.233 eV/atom. The formation energy comes out at -0.04 eV/atom.

Unit cell a=3.574 b=11.638 c=11.763 alpha=90.00 beta=90.00 gamma=90.00
Space group Cmcm (No. 63)
Asymmetric unit:
Nd (0.000, 0.104, 0.250) x4
U (0.000, 0.371, 0.048) x8
Ru (0.000, 0.158, 0.750) x4
C (0.000, 0.000, 0.000) x4
C (0.000, 0.256, 0.611) x8
C (0.000, 0.435, 0.250) x4

---

This record from the Alexandria database describes an optimized crystal structure of Nd2Zn2Ru2C. The functional is PBE-GGA.

Computed properties:
As for the total energy: -5.981 eV/atom. The formation energy comes out at -0.29 eV/atom.

Unit cell a=10.880 b=3.992 c=7.419 alpha=90.00 beta=125.24 gamma=90.00
Space group C2/m (No. 12)
Asymmetric unit:
Nd (0.067, 0.000, 0.288) x4
Zn (0.138, 0.500, 0.673) x4
Ru (0.196, 0.500, 0.067) x4
C (0.000, 0.500, 0.000) x2

---

This record from the Alexandria database describes an optimized crystal structure of NdZn2Ru2C. The functional is PBE-GGA.

Computed properties:
As for the total energy: -6.110 eV/atom. The formation energy comes out at -0.26 eV/atom.

Unit cell a=4.117 b=4.117 c=5.601 alpha=90.00 beta=90.00 gamma=90.00
Space group P4/mmm (No. 123)
Asymmetric unit:
Nd (0.000, 0.000, 0.000) x1
Zn (0.500, 0.500, 0.219) x2
Ru (0.000, 0.500, 0.500) x2
C (0.000, 0.000, 0.500) x1

---

This record from the Alexandria database describes an optimized crystal structure of Nd4CS2. The functional is PBE-GGA.

Computed properties:
As for the total energy: -6.453 eV/atom. As for the uncorrected formation energy: -1232 meV/atom.

Unit cell a=8.205 b=11.301 c=3.921 alpha=90.00 beta=90.00 gamma=90.00
Space group Cmmm (No. 65)
Asymmetric unit:
Nd (0.000, 0.231, 0.000) x4
Nd (0.214, 0.000, 0.500) x4
C (0.000, 0.000, 0.000) x2
S (0.250, 0.250, 0.500) x4

---

This record from the Alexandria database describes an optimized crystal structure of Nd2CS. The functional is PBE-GGA.

Computed properties:
As for the total energy: -6.817 eV/atom. As for the uncorrected formation energy: -1096 meV/atom.

Unit cell a=3.8893 b=3.8893 c=19.8930 alpha=90.00 beta=90.00 gamma=120.00
Space group R-3m (No. 166, hexagonal axes)
Asymmetric unit:
Nd (0.0000, 0.0000, 0.2388) x6
C (0.0000, 0.0000, 0.5000) x3
S (0.0000, 0.0000, 0.0000) x3

---

This record from the Alexandria database describes an optimized crystal structure of Nd7CS5. The functional is PBE-GGA.

Computed properties:
As for the total energy: -6.353 eV/atom. As for the uncorrected formation energy: -1489 meV/atom.

Unit cell a=13.406 b=3.907 c=24.276 alpha=90.00 beta=90.02 gamma=90.00
Space group Cm (No. 8)
Asymmetric unit:
Nd (0.000, 0.000, 0.000) x2
Nd (0.000, 0.000, 0.138) x2
Nd (0.055, 0.500, 0.859) x2
Nd (0.072, 0.500, 0.284) x2
Nd (0.107, 0.000, 0.702) x2
Nd (0.132, 0.000, 0.425) x2
Nd (0.147, 0.500, 0.572) x2
Nd (0.257, 0.500, 0.072) x2
Nd (0.273, 0.000, 0.925) x2
Nd (0.298, 0.000, 0.203) x2
Nd (0.333, 0.500, 0.784) x2
Nd (0.350, 0.500, 0.360) x2
Nd (0.405, 0.000, 0.500) x2
Nd (0.405, 0.000, 0.638) x2
C (0.028, 0.000, 0.606) x2
C (0.376, 0.000, 0.106) x2
S (0.140, 0.500, 0.968) x2
S (0.152, 0.500, 0.174) x2
S (0.190, 0.000, 0.817) x2
S (0.214, 0.000, 0.317) x2
S (0.253, 0.500, 0.674) x2
S (0.264, 0.500, 0.468) x2
S (0.416, 0.500, 0.893) x2
S (0.432, 0.500, 0.248) x2
S (0.473, 0.000, 0.748) x2
S (0.489, 0.000, 0.393) x2

---

This record from the Alexandria database describes an optimized crystal structure of Nd2C2S. The functional is PBE-GGA.

Computed properties:
As for the total energy: -7.337 eV/atom. As for the uncorrected formation energy: -914 meV/atom.

Unit cell a=14.341 b=4.019 c=6.989 alpha=90.00 beta=104.73 gamma=90.00
Space group C2/c (No. 15)
Asymmetric unit:
Nd (0.132, 0.216, 0.153) x8
C (0.220, 0.339, 0.535) x8
S (0.000, 0.281, 0.750) x4

---

This record from the Alexandria database describes an optimized crystal structure of Nd2CS. The functional is PBE-GGA.

Computed properties:
As for the total energy: -6.750 eV/atom. As for the uncorrected formation energy: -1028 meV/atom.

Unit cell a=3.8394 b=3.8394 c=20.5103 alpha=90.00 beta=90.00 gamma=120.00
Space group R3m (No. 160, hexagonal axes)
Asymmetric unit:
Nd (0.0000, 0.0000, 0.0000) x3
Nd (0.0000, 0.0000, 0.1926) x3
C (0.0000, 0.0000, 0.5957) x3
S (0.0000, 0.0000, 0.7642) x3

---

This record from the Alexandria database describes an optimized crystal structure of Nd5CS4. The functional is PBE-GGA.

Computed properties:
As for the total energy: -6.594 eV/atom. As for the uncorrected formation energy: -1636 meV/atom.

Unit cell a=4.028 b=4.028 c=28.512 alpha=90.00 beta=90.00 gamma=90.00
Space group I4/mmm (No. 139)
Asymmetric unit:
Nd (0.000, 0.000, 0.000) x2
Nd (0.000, 0.000, 0.201) x4
Nd (0.000, 0.000, 0.411) x4
C (0.000, 0.000, 0.500) x2
S (0.000, 0.000, 0.100) x4
S (0.000, 0.000, 0.303) x4

---

This record from the Alexandria database describes an optimized crystal structure of NdCS. The functional is PBE-GGA.

Computed properties:
As for the total energy: -7.010 eV/atom. As for the uncorrected formation energy: -970 meV/atom.

Unit cell a=8.443 b=4.356 c=7.007 alpha=90.00 beta=90.02 gamma=90.00
Space group C2/m (No. 12)
Asymmetric unit:
Nd (0.165, 0.000, 0.237) x4
C (0.074, 0.500, 0.986) x4
S (0.155, 0.000, 0.649) x4

---

This record from the Alexandria database describes an optimized crystal structure of Nd6CSe2S3. The functional is PBE-GGA.

Computed properties:
As for the total energy: -6.440 eV/atom. As for the uncorrected formation energy: -1675 meV/atom.

Unit cell a=7.149 b=12.377 c=7.000 alpha=90.00 beta=109.84 gamma=90.00
Space group C2/m (No. 12)
Asymmetric unit:
Nd (0.219, 0.000, 0.259) x4
Nd (0.230, 0.149, 0.741) x8
C (0.000, 0.000, 0.500) x2
Se (0.000, 0.334, 0.500) x4
S (0.000, 0.173, 0.000) x4
S (0.000, 0.500, 0.000) x2

---

This record from the Alexandria database describes an optimized crystal structure of Nd4CSeS2. The functional is PBE-GGA.

Computed properties:
As for the total energy: -6.492 eV/atom. As for the uncorrected formation energy: -1488 meV/atom.

Unit cell a=5.739 b=5.739 c=11.525 alpha=90.00 beta=90.00 gamma=90.00
Space group I-4m2 (No. 119)
Asymmetric unit:
Nd (0.000, 0.000, 0.223) x4
Nd (0.000, 0.500, 0.505) x4
C (0.000, 0.000, 0.000) x2
Se (0.000, 0.500, 0.250) x2
S (0.000, 0.000, 0.500) x2
S (0.000, 0.500, 0.750) x2

---

This record from the Alexandria database describes an optimized crystal structure of Nd8CSe3S4. The functional is PBE-GGA.

Computed properties:
As for the total energy: -6.380 eV/atom. As for the uncorrected formation energy: -1735 meV/atom.

Unit cell a=8.2615 b=8.2615 c=19.9637 alpha=90.00 beta=90.00 gamma=120.00
Space group R-3m (No. 166, hexagonal axes)
Asymmetric unit:
Nd (0.0000, 0.0000, 0.2438) x6
Nd (0.0327, 0.5163, 0.7464) x18
C (0.0000, 0.0000, 0.0000) x3
Se (0.0000, 0.5000, 0.0000) x9
S (0.0000, 0.0000, 0.5000) x3
S (0.0000, 0.5000, 0.5000) x9

---

This record from the Alexandria database describes an optimized crystal structure of Nd4CSe2S. The functional is PBE-GGA.

Computed properties:
As for the total energy: -6.438 eV/atom. As for the uncorrected formation energy: -1514 meV/atom.

Unit cell a=7.048 b=4.021 c=7.224 alpha=90.00 beta=108.60 gamma=90.00
Space group P2/m (No. 10)
Asymmetric unit:
Nd (0.220, 0.000, 0.213) x2
Nd (0.237, 0.500, 0.780) x2
C (0.000, 0.500, 0.000) x1
Se (0.000, 0.000, 0.500) x1
Se (0.500, 0.500, 0.500) x1
S (0.500, 0.000, 0.000) x1

---

This record from the Alexandria database describes an optimized crystal structure of Nd8CSe4S3. The functional is PBE-GGA.

Computed properties:
As for the total energy: -6.343 eV/atom. As for the uncorrected formation energy: -1738 meV/atom.

Unit cell a=8.1847 b=8.1847 c=20.5744 alpha=90.00 beta=90.00 gamma=120.00
Space group R-3m (No. 166, hexagonal axes)
Asymmetric unit:
Nd (0.0000, 0.0000, 0.2432) x6
Nd (0.0231, 0.5116, 0.2392) x18
C (0.0000, 0.0000, 0.5000) x3
Se (0.0000, 0.0000, 0.0000) x3
Se (0.0000, 0.5000, 0.0000) x9
S (0.0000, 0.5000, 0.5000) x9

---

This record from the Alexandria database describes an optimized crystal structure of Nd6TeC2S3. The functional is PBE-GGA.

Computed properties:
As for the total energy: -6.490 eV/atom. As for the uncorrected formation energy: -1275 meV/atom.

Unit cell a=17.706 b=4.001 c=8.318 alpha=90.00 beta=102.19 gamma=90.00
Space group C2/m (No. 12)
Asymmetric unit:
Nd (0.022, 0.000, 0.283) x4
Nd (0.175, 0.500, 0.569) x4
Nd (0.178, 0.500, 0.128) x4
Te (0.000, 0.500, 0.000) x2
C (0.171, 0.000, 0.339) x4
S (0.000, 0.500, 0.500) x2
S (0.161, 0.000, 0.835) x4

---

This record from the Alexandria database describes an optimized crystal structure of Nd6Te3C2S. The functional is PBE-GGA.

Computed properties:
As for the total energy: -6.168 eV/atom. As for the uncorrected formation energy: -1118 meV/atom.

Unit cell a=18.667 b=4.061 c=8.663 alpha=90.00 beta=107.07 gamma=90.00
Space group C2/m (No. 12)
Asymmetric unit:
Nd (0.025, 0.000, 0.247) x4
Nd (0.168, 0.500, 0.130) x4
Nd (0.180, 0.500, 0.552) x4
Te (0.000, 0.500, 0.500) x2
Te (0.160, 0.000, 0.832) x4
C (0.168, 0.000, 0.332) x4
S (0.000, 0.500, 0.000) x2

---

One value per record, in order, for DOS(E_F): 0.460 0.566 0.807 0.635 0.560 1.018 0.643 0.667 0.646 0.170 0.613 0.269 0.036 0.408 0.000 0.454 0.258 0.485 0.296 0.442 0.338 0.402 states/eV/atom.